# 1
Material: La12Y3Th
Method: DFT, PBE-GGA
State: relaxed

Properties
ΔH_f (0 K) in eV per formula unit: 0.30
VASP energy in eV per atom: -5.35
Total moment in μB per formula unit: 0.00

CIF file:
```
data_La12Y3Th
_space_group_name_H-M_alt 'P 4/m m m'
_space_group_IT_number 123
_space_group_name_Hall '-P 4 2'
_cell_length_a 5.220
_cell_length_b 5.220
_cell_length_c 20.864
_cell_angle_alpha 90.00
_cell_angle_beta 90.00
_cell_angle_gamma 90.00
loop_
_atom_site_label
_atom_site_fract_x
_atom_site_fract_y
_atom_site_fract_z
La1 0.000 0.000 0.000
La2 0.000 0.000 0.248
La3 0.000 0.000 0.500
La4 0.000 0.500 0.125
La5 0.000 0.500 0.379
Y1 0.500 0.500 0.000
Y2 0.500 0.500 0.249
Th1 0.500 0.500 0.500
```


# 2
Material: NdSmBi2
Method: DFT, PBE-GGA
State: relaxed

Properties
ΔH_f (0 K) in eV per formula unit: -2.71
VASP energy in eV per atom: -4.99
E above lowest polymorph in eV/f.u.: 1.04
Total moment in μB per formula unit: 0.04

CIF file:
```
data_NdSmBi2
_space_group_name_H-M_alt 'P 4/m m m'
_space_group_IT_number 123
_space_group_name_Hall '-P 4 2'
_cell_length_a 3.863
_cell_length_b 3.863
_cell_length_c 8.335
_cell_angle_alpha 90.00
_cell_angle_beta 90.00
_cell_angle_gamma 90.00
loop_
_atom_site_label
_atom_site_fract_x
_atom_site_fract_y
_atom_site_fract_z
Nd1 0.000 0.000 0.000
Sm1 0.000 0.000 0.500
Bi1 0.500 0.500 0.254
```


# 3
Material: TbSnHgAu
Method: DFT, PBE-GGA
State: relaxed

Properties
ΔH_f (0 K) in eV per formula unit: -2.03
VASP energy in eV per atom: -3.56
Total moment in μB per formula unit: 0.00

CIF file:
```
data_TbSnHgAu
_space_group_name_H-M_alt 'F -4 3 m'
_space_group_IT_number 216
_space_group_name_Hall 'F -4 2 3'
_cell_length_a 7.203
_cell_length_b 7.203
_cell_length_c 7.203
_cell_angle_alpha 90.00
_cell_angle_beta 90.00
_cell_angle_gamma 90.00
loop_
_atom_site_label
_atom_site_fract_x
_atom_site_fract_y
_atom_site_fract_z
Tb1 0.000 0.000 0.000
Sn1 0.000 0.000 0.500
Hg1 0.250 0.250 0.750
Au1 0.250 0.250 0.250
```


# 4
Material: Th3MgTc
Method: DFT, PBE-GGA
State: relaxed

Properties
ΔH_f (0 K) in eV per formula unit: 0.49
VASP energy in eV per atom: -6.75
E above lowest polymorph in eV/f.u.: 0.55
Total moment in μB per formula unit: 0.00

CIF file:
```
data_Th3MgTc
_space_group_name_H-M_alt 'P m -3 m'
_space_group_IT_number 221
_space_group_name_Hall '-P 4 2 3'
_cell_length_a 5.449
_cell_length_b 5.449
_cell_length_c 5.449
_cell_angle_alpha 90.00
_cell_angle_beta 90.00
_cell_angle_gamma 90.00
loop_
_atom_site_label
_atom_site_fract_x
_atom_site_fract_y
_atom_site_fract_z
Th1 0.000 0.000 0.500
Mg1 0.500 0.500 0.500
Tc1 0.000 0.000 0.000
```


# 5
Material: LiAl2Ag
Method: DFT, PBE-GGA
State: relaxed

Properties
ΔH_f (0 K) in eV per formula unit: -0.36
VASP energy in eV per atom: -3.15
E above lowest polymorph in eV/f.u.: 0.19
Total moment in μB per formula unit: 0.00

CIF file:
```
data_LiAl2Ag
_space_group_name_H-M_alt 'C m m 2'
_space_group_IT_number 35
_space_group_name_Hall 'C 2 -2'
_cell_length_a 3.959
_cell_length_b 4.069
_cell_length_c 8.300
_cell_angle_alpha 90.00
_cell_angle_beta 90.00
_cell_angle_gamma 90.00
loop_
_atom_site_label
_atom_site_fract_x
_atom_site_fract_y
_atom_site_fract_z
Li1 0.000 0.000 0.000
Al1 0.000 0.000 0.496
Al2 0.000 0.500 0.746
Ag1 0.000 0.500 0.250
```


# 6
Material: BaLiMgSn
Method: DFT, PBE-GGA
State: relaxed

Properties
ΔH_f (0 K) in eV per formula unit: -1.17
VASP energy in eV per atom: -2.65
Total moment in μB per formula unit: 0.00

CIF file:
```
data_BaLiMgSn
_space_group_name_H-M_alt 'F -4 3 m'
_space_group_IT_number 216
_space_group_name_Hall 'F -4 2 3'
_cell_length_a 7.553
_cell_length_b 7.553
_cell_length_c 7.553
_cell_angle_alpha 90.00
_cell_angle_beta 90.00
_cell_angle_gamma 90.00
loop_
_atom_site_label
_atom_site_fract_x
_atom_site_fract_y
_atom_site_fract_z
Ba1 0.000 0.000 0.000
Li1 0.250 0.250 0.250
Mg1 0.250 0.250 0.750
Sn1 0.000 0.000 0.500
```


# 7
Material: Nd6YErTm2
Method: DFT, PBE-GGA
State: relaxed

Properties
ΔH_f (0 K) in eV per formula unit: 1.14
VASP energy in eV per atom: -4.74
Total moment in μB per formula unit: 0.00

CIF file:
```
data_Nd6YErTm2
_space_group_name_H-M_alt 'C 1 2/c 1'
_space_group_IT_number 15
_space_group_name_Hall '-C 2yc'
_cell_length_a 9.241
_cell_length_b 15.336
_cell_length_c 9.625
_cell_angle_alpha 90.00
_cell_angle_beta 97.22
_cell_angle_gamma 90.00
loop_
_atom_site_label
_atom_site_fract_x
_atom_site_fract_y
_atom_site_fract_z
Nd1 0.060 0.178 0.447
Nd2 0.100 0.392 0.618
Nd3 0.214 0.223 0.812
Y1 0.000 0.027 0.750
Er1 0.000 0.412 0.250
Tm1 0.249 0.450 0.954
```


# 8
Material: NiHg4Ir
Method: DFT, PBE-GGA
State: relaxed

Properties
ΔH_f (0 K) in eV per formula unit: 5.56
VASP energy in eV per atom: -1.71
Total moment in μB per formula unit: 0.00

CIF file:
```
data_NiHg4Ir
_space_group_name_H-M_alt 'F -4 3 m'
_space_group_IT_number 216
_space_group_name_Hall 'F -4 2 3'
_cell_length_a 7.877
_cell_length_b 7.877
_cell_length_c 7.877
_cell_angle_alpha 90.00
_cell_angle_beta 90.00
_cell_angle_gamma 90.00
loop_
_atom_site_label
_atom_site_fract_x
_atom_site_fract_y
_atom_site_fract_z
Ni1 0.000 0.000 0.000
Hg1 0.125 0.125 0.625
Ir1 0.250 0.250 0.250
```